1.
First-principles (PBE) data for LiPuH after structural relaxation, as listed in the Alexandria database.

Computed properties:
Total energy: -19.43 eV per formula unit
Spin magnetization: 0.00 Bohr magnetons per cell

a = 2.6519 Å, b = 4.4188 Å, c = 6.1136 Å
α = 92.33°, β = 90.67°, γ = 92.13°
Last column: nearest neighbours and their distance in Å.
Space group P-1 (No. 2)
Inequivalent atoms, fractional coordinates:
Li  0.2200  0.2546  0.4154 x2  3 H 1.84-2.00
Pu  0.3613  0.7566  0.0568 x2  2 H 2.16-2.40, 1 Pu 2.38
H  0.2233  0.4823  0.7022 x2  3 Li 1.84-2.00

2.
First-principles (PBE) data for Ba2LiGe4Au3 after structural relaxation, as listed in the Alexandria database.

Computed properties:
Total energy: -39.00 eV per formula unit
Spin magnetization: 0.00 Bohr magnetons per cell

a = 4.6250 Å, b = 4.6250 Å, c = 10.9073 Å
α = 90.00°, β = 90.00°, γ = 90.00°
Last column: nearest neighbours and their distance in Å.
Space group P-4m2 (No. 115)
Inequivalent atoms, fractional coordinates:
Ba  0.0000  0.5000  0.2467 x2  8 Ge 3.52-3.60, 6 Au 3.55, 2 Li 3.55
Li  0.5000  0.5000  0.0000 x1  4 Ge 2.70
Ge  0.0000  0.0000  0.5000 x1  4 Au 2.70
Ge  0.0000  0.5000  0.8720 x2  3 Au 2.67-2.70, 2 Li 2.70
Ge  0.5000  0.5000  0.5000 x1  4 Au 2.70
Au  0.0000  0.0000  0.0000 x1  4 Ge 2.70
Au  0.0000  0.5000  0.6274 x2  5 Ge 2.67-2.70

3.
First-principles (PBE) data for RbTeAu after structural relaxation, as listed in the Alexandria database.

Computed properties:
Total energy: -9.42 eV per formula unit
Formation energy without anion corrections: -196 kJ/mol of formula units
Spin magnetization: 0.00 Bohr magnetons per cell

a = 4.7754 Å, b = 4.7754 Å, c = 5.3577 Å
α = 90.00°, β = 90.00°, γ = 120.00°
Last column: nearest neighbours and their distance in Å.
Space group P-6m2 (No. 187)
Inequivalent atoms, fractional coordinates:
Rb  0.0000  0.0000  0.0000 x1  6 Te 3.84, 6 Au 3.84
Te  0.6667  0.3333  0.5000 x1  3 Au 2.76
Au  0.3333  0.6667  0.5000 x1  3 Te 2.76

What did the third record say?
First-principles (PBE) data for RbTeAu after structural relaxation, as listed in the Alexandria database.

Computed properties:
Total energy: -9.42 eV per formula unit
Formation energy without anion corrections: -196 kJ/mol of formula units
Spin magnetization: 0.00 Bohr magnetons per cell

a = 4.7754 Å, b = 4.7754 Å, c = 5.3577 Å
α = 90.00°, β = 90.00°, γ = 120.00°
Last column: nearest neighbours and their distance in Å.
Space group P-6m2 (No. 187)
Inequivalent atoms, fractional coordinates:
Rb  0.0000  0.0000  0.0000 x1  6 Te 3.84, 6 Au 3.84
Te  0.6667  0.3333  0.5000 x1  3 Au 2.76
Au  0.3333  0.6667  0.5000 x1  3 Te 2.76

spin magnetization of number 2 (Ba2LiGe4Au3)?
0.00 Bohr magnetons per cell